# 1
Below is a relaxed Sr6Pb3O crystal, with properties calculated at the PBE level.

Calculated values
Theoretical density ... 5.38 g/cm3
DOS(E_F) ... 8.20 states/eV per cell
Calculated total energy ... -69.0 eV/cell

Unit cell a=7.4045 b=8.9221 c=10.9364 alpha=90.00 beta=83.49 gamma=90.00
With the nearest neighbours (Å) after each atom.
Positions (direct):
Sr1 0.1309 0.2903 0.0572  1 O 2.86
Sr2 0.6874 0.1539 0.9465  1 O 2.81
Sr3 0.8126 0.6539 0.5535  1 O 2.81
Pb1 0.9361 0.3905 0.7502  7 Sr 3.38-3.64
Sr4 0.8707 0.9633 0.2223  1 O 2.53
Sr5 0.3126 0.8461 0.0535  1 O 2.81
O1 0.5000 0.5000 0.5000  4 Sr 2.53-2.81
Sr6 0.6293 0.4633 0.2777  1 O 2.53
Pb2 0.0000 0.0000 0.5000  6 Sr 3.30-3.41
Sr7 0.8691 0.7097 0.9428  1 O 2.86
Pb3 0.5000 0.5000 0.0000  6 Sr 3.30-3.41
Pb4 0.0639 0.6095 0.2498  7 Sr 3.38-3.64
Pb5 0.5639 0.8905 0.7498  7 Sr 3.38-3.64
Sr8 0.3691 0.7903 0.4428  1 O 2.86
Sr9 0.6309 0.2097 0.5572  1 O 2.86
Sr10 0.1874 0.3461 0.4465  1 O 2.81
O2 0.0000 0.0000 0.0000  4 Sr 2.53-2.81
Pb6 0.4361 0.1095 0.2502  7 Sr 3.38-3.64
Sr11 0.3707 0.5367 0.7223  1 O 2.53
Sr12 0.1293 0.0367 0.7777  1 O 2.53

# 2
Below is a relaxed Sr2PbO crystal, with properties calculated at the PBE level.

Calculated values
Theoretical density ... 5.56 g/cm3
Polymorph energy (0 for the lowest one) ... 0.255 eV/atom
DOS(E_F) ... 4.05 states/eV per cell
Calculated total energy ... -16.8 eV/cell

Unit cell a=3.7764 b=3.7764 c=9.8718 alpha=78.97 beta=78.97 gamma=60.00
With the nearest neighbours (Å) after each atom.
Positions (direct):
Sr1 0.8844 0.8844 0.3467  3 O 2.63
Sr2 0.1156 0.1156 0.6533  3 O 2.63
Pb1 0.0000 0.0000 0.0000  2 Sr 3.34
O1 0.5000 0.5000 0.5000  6 Sr 2.63

# 3
Below is a relaxed Sr4PbO crystal, with properties calculated at the PBE level.

Calculated values
Theoretical density ... 4.54 g/cm3
DOS(E_F) ... 7.87 states/eV per cell
Calculated total energy ... -42.3 eV/cell

Unit cell a=6.9628 b=8.5183 c=8.1484 alpha=104.74 beta=115.21 gamma=89.92
With the nearest neighbours (Å) after each atom.
Positions (direct):
O1 0.5000 0.0000 0.5000  2 Sr 2.34
Sr1 0.1282 0.1314 0.3617  1 O 2.72
Sr2 0.7121 0.4471 0.1986  1 O 2.35
O2 0.0000 0.5000 0.5000  2 Sr 2.35
Sr3 0.2879 0.5529 0.8014  1 O 2.35
Sr4 0.8718 0.8686 0.6383  1 O 2.72
Sr5 0.2341 0.6320 0.3626  1 O 2.72
Sr6 0.5107 0.0526 0.8007  1 O 2.34
Pb1 0.8261 0.7497 0.9996  8 Sr 3.48-3.68
Sr7 0.4893 0.9474 0.1993  1 O 2.34
Sr8 0.7659 0.3680 0.6374  1 O 2.72
Pb2 0.1739 0.2503 0.0004  8 Sr 3.48-3.68

# 4
Below is a relaxed Sr6Pb2O crystal, with properties calculated at the PBE level.

Calculated values
Theoretical density ... 5.16 g/cm3
DOS(E_F) ... 7.03 states/eV per cell
Calculated total energy ... -61.8 eV/cell

Unit cell a=7.5965 b=7.5620 c=10.7178 alpha=90.00 beta=89.98 gamma=90.00
With the nearest neighbours (Å) after each atom.
Positions (direct):
Pb1 0.0031 0.5125 0.2502  8 Sr 3.44-3.84
Sr1 0.2392 0.2753 0.0268  1 O 2.63
Sr2 0.0513 0.0031 0.7425  1 O 2.63
Sr3 0.5513 0.4969 0.2425  1 O 2.63
Pb2 0.5031 0.9875 0.7502  8 Sr 3.44-3.84
Sr4 0.7608 0.7247 0.9732  1 O 2.63
Sr5 0.2608 0.7753 0.4732  1 O 2.63
Pb3 0.4969 0.0125 0.2498  8 Sr 3.44-3.84
O1 0.0000 0.0000 0.5000  6 Sr 2.62-2.63
Sr6 0.7238 0.2387 0.9741  1 O 2.62
Sr7 0.4487 0.5031 0.7575  1 O 2.63
Sr8 0.7762 0.7387 0.5259  1 O 2.62
Sr9 0.2238 0.2613 0.4741  1 O 2.62
Pb4 0.9969 0.4875 0.7498  8 Sr 3.44-3.84
Sr10 0.7392 0.2247 0.5268  1 O 2.63
Sr11 0.2762 0.7613 0.0259  1 O 2.62
O2 0.5000 0.5000 0.0000  6 Sr 2.62-2.63
Sr12 0.9487 0.9969 0.2575  1 O 2.63

# 5
Below is a relaxed Sr4PbO6 crystal, with properties calculated at the PBE level.

Calculated values
Theoretical density ... 5.94 g/cm3
DOS(E_F) ... 0.00 states/eV per cell
Calculated total energy ... -130.2 eV/cell

Unit cell a=7.1497 b=7.1497 c=7.1497 alpha=89.36 beta=89.36 gamma=90.64
With the nearest neighbours (Å) after each atom.
Positions (direct):
Sr1 0.6062 0.8938 0.7500  6 O 2.56-2.75
O1 0.5540 0.2018 0.5742  1 Pb 2.23
O2 0.0540 0.9258 0.2982  1 Pb 2.23
O3 0.9258 0.7018 0.9460  1 Pb 2.23
Pb1 0.0000 0.0000 0.0000  6 O 2.23
Sr2 0.7500 0.7500 0.2500  6 O 2.53
Sr3 0.2500 0.2500 0.7500  6 O 2.53
O4 0.5742 0.4460 0.2018  1 Pb 2.23
O5 0.7982 0.5742 0.5540  1 Pb 2.23
O6 0.4460 0.7982 0.4258  1 Pb 2.23
Sr4 0.7500 0.3938 0.8938  6 O 2.56-2.75
O7 0.2018 0.4258 0.4460  1 Pb 2.23
Sr5 0.8938 0.2500 0.3938  6 O 2.56-2.75
O8 0.7018 0.0540 0.0742  1 Pb 2.23
O9 0.0742 0.2982 0.0540  1 Pb 2.23
O10 0.2982 0.9460 0.9258  1 Pb 2.23
Sr6 0.2500 0.6062 0.1062  6 O 2.56-2.75
Sr7 0.3938 0.1062 0.2500  6 O 2.56-2.75
O11 0.4258 0.5540 0.7982  1 Pb 2.23
O12 0.9460 0.0742 0.7018  1 Pb 2.23
Pb2 0.5000 0.5000 0.5000  6 O 2.23
Sr8 0.1062 0.7500 0.6062  6 O 2.56-2.75

# 6
Below is a relaxed Sr2PbO3 crystal, with properties calculated at the PBE level.

Calculated values
Theoretical density ... 6.62 g/cm3
Polymorph energy (0 for the lowest one) ... 0.138 eV/atom
DOS(E_F) ... 0.00 states/eV per cell
Calculated total energy ... -68.3 eV/cell

Unit cell a=6.2425 b=6.2425 c=7.3430 alpha=64.85 beta=64.85 gamma=60.00
With the nearest neighbours (Å) after each atom.
Positions (direct):
Pb1 0.5000 0.5000 0.5000  6 O 2.64
Pb2 0.0000 0.0000 0.0000  6 O 2.64
Sr1 0.6654 0.6654 0.0037  6 O 2.60-2.63
O1 0.5758 0.2500 0.2500  4 Sr 2.60-2.63, 2 Pb 2.64
O2 0.9242 0.5758 0.2500  4 Sr 2.60-2.63, 2 Pb 2.64
Sr2 0.3346 0.3346 0.9963  6 O 2.60-2.63
O3 0.7500 0.0758 0.7500  4 Sr 2.60-2.63, 2 Pb 2.64
O4 0.0758 0.4242 0.7500  4 Sr 2.60-2.63, 2 Pb 2.64
Sr3 0.8346 0.8346 0.4963  6 O 2.60-2.63
O5 0.4242 0.7500 0.7500  4 Sr 2.60-2.63, 2 Pb 2.64
Sr4 0.1654 0.1654 0.5037  6 O 2.60-2.63
O6 0.2500 0.9242 0.2500  4 Sr 2.60-2.63, 2 Pb 2.64

# 7
Below is a relaxed SrPb3O6 crystal, with properties calculated at the PBE level.

Calculated values
Theoretical density ... 8.12 g/cm3
DOS(E_F) ... 1.39 states/eV per cell
Calculated total energy ... -55.1 eV/cell

Unit cell a=3.4837 b=7.1017 c=7.1017 alpha=110.41 beta=90.00 gamma=90.00
With the nearest neighbours (Å) after each atom.
Positions (direct):
O1 0.0000 0.6561 0.9162  3 Pb 2.25-2.30
Sr1 0.0000 0.5000 0.5000  8 O 2.63-2.77
O2 0.0000 0.3439 0.0838  3 Pb 2.25-2.30
Pb1 0.0000 0.0000 0.0000  4 O 2.30
O3 0.5000 0.3312 0.6688  2 Pb 2.24
O4 0.0000 0.0838 0.3439  3 Pb 2.25-2.30
O5 0.5000 0.6688 0.3312  2 Pb 2.24
O6 0.0000 0.9162 0.6561  3 Pb 2.25-2.30
Pb2 0.5000 0.0000 0.5000  6 O 2.24-2.25
Pb3 0.5000 0.5000 0.0000  6 O 2.24-2.25

# 8
Below is a relaxed Sr2PbO crystal, with properties calculated at the PBE level.

Calculated values
Theoretical density ... 5.71 g/cm3
Polymorph energy (0 for the lowest one) ... 0.906 eV/atom
DOS(E_F) ... 3.00 states/eV per cell
Calculated total energy ... -14.2 eV/cell

Unit cell a=5.4713 b=5.4713 c=5.4713 alpha=60.00 beta=60.00 gamma=60.00
With the nearest neighbours (Å) after each atom.
Positions (direct):
Sr1 0.7500 0.7500 0.7500  4 Pb 3.35, 4 O 3.35
O1 0.0000 0.0000 0.0000  8 Sr 3.35
Sr2 0.2500 0.2500 0.2500  4 O 3.35, 4 Pb 3.35
Pb1 0.5000 0.5000 0.5000  8 Sr 3.35